# Ho5HgS4

A relaxed structure of Ho5HgS4 (GGA-PBE, Alexandria).

a b c (Å): 13.2647 3.8960 9.8977
angles (deg): 90.00 120.21 90.00
Last column: nearest neighbours and their distance in Å.
Space group C2/m (No. 12)
One atom of each set of equivalent atoms:
Ho: 0.0000 0.0000 0.0000 x2  6 S 2.77
Ho: 0.1115 0.5000 0.3920 x4  4 S 2.73-2.86, 2 Hg 2.95
Ho: 0.2033 0.0000 0.8114 x4  5 S 2.73-2.80, 1 Hg 2.90
Hg: 0.0000 0.0000 0.5000 x2  6 Ho 2.90-2.95
S: 0.0981 0.5000 0.9025 x4  6 Ho 2.73-2.84
S: 0.2017 0.0000 0.2901 x4  6 Ho 2.73-2.86

Calculated values
formation energy without anion corrections = -1.64 eV/atom
crystal system = monoclinic

# La4Tb2Pm2Dy

A relaxed structure of La4Tb2Pm2Dy (GGA-PBE, Alexandria).

a b c (Å): 15.5780 5.2051 8.1440
angles (deg): 90.00 108.62 90.00
Last column: nearest neighbours and their distance in Å.
Space group C2/m (No. 12)
One atom of each set of equivalent atoms:
La: 0.0542 0.0000 0.3291 x4  2 Tb 3.63-3.64, 2 Dy 3.64, 4 Pm 3.67-3.70, 4 La 3.68-3.70
La: 0.2231 0.5000 0.3310 x4  3 Tb 3.63-3.65, 1 Dy 3.66, 3 Pm 3.66-3.70, 5 La 3.68-3.70
Tb: 0.1669 0.0000 0.0001 x4  3 Pm 3.63-3.64, 5 La 3.63-3.65, 2 Tb 3.67, 2 Dy 3.68
Pm: 0.1121 0.5000 0.6707 x4  3 Tb 3.63-3.64, 1 Dy 3.64, 7 La 3.66-3.70, 1 Pm 3.70
Dy: 0.0000 0.5000 0.0000 x2  6 La 3.64-3.66, 2 Pm 3.64, 4 Tb 3.68

Calculated values
formation energy from the elements = 25.9 meV/atom
crystal system = monoclinic

# ZrMn2Al

A relaxed structure of ZrMn2Al (GGA-PBE, Alexandria).

a b c (Å): 2.8849 4.0680 5.3573
angles (deg): 90.00 103.85 90.00
Last column: nearest neighbours and their distance in Å.
Space group Pm (No. 6)
One atom of each set of equivalent atoms:
Zr: 0.0000 0.0000 0.0000 x1  6 Mn 2.67-2.83, 2 Zr 2.88, 2 Al 2.96
Mn: 0.0973 0.0000 0.5167 x1  2 Mn 2.46, 2 Al 2.55, 2 Zr 2.67-2.71
Mn: 0.4113 0.5000 0.7567 x1  2 Mn 2.46, 1 Al 2.53
Al: 0.6123 0.5000 0.3215 x1  3 Mn 2.53-2.55

Calculated values
formation energy from the elements = -14.0 meV/atom
crystal system = monoclinic

# Y2VBr

A relaxed structure of Y2VBr (GGA-PBE, Alexandria).

a b c (Å): 7.4222 7.4222 7.4222
angles (deg): 90.00 90.00 90.00
Last column: nearest neighbours and their distance in Å.
Space group Fm-3m (No. 225)
One atom of each set of equivalent atoms:
Y: 0.2500 0.2500 0.2500 x8  4 Br 3.21, 4 V 3.21
V: 0.0000 0.0000 0.0000 x4  8 Y 3.21
Br: 0.0000 0.0000 0.5000 x4  8 Y 3.21

Calculated values
excess energy over the best structure of this formula in the dataset = 0.0 meV per atom
formation energy without anion corrections = 0.17 eV/atom
crystal system = cubic

What is the formula in the third record? ZrMn2Al